Material: BaLaI
Method: DFT, PBE-GGA
State: relaxed Values from VASP.

The structure in Quantum ESPRESSO input format:
```
&SYSTEM
  ibrav = 0, nat = 6, ntyp = 3
/
ATOMIC_SPECIES
La 138.91 La.upf
I 126.90 I.upf
Ba 137.33 Ba.upf
CELL_PARAMETERS angstrom
-3.385 1.663 -1.770
1.227 -3.841 -1.050
-9.524 -6.382 12.214
ATOMIC_POSITIONS angstrom
La -5.021 -4.869 5.028
I -8.467 -7.170 9.455
Ba -8.409 -4.271 7.164
I -1.573 -2.550 0.613
Ba -4.707 -1.791 2.417
La -1.795 0.167 -1.313
```

Its uncorrected formation energy is -2.04 eV/f.u. For the total energy, the calculation gives -3.48 eV/atom. As for the space group: No. 38. Its calculated volume is 41.97 Å³ per atom.

***

Material: BaLa2I
Method: DFT, PBE-GGA
State: relaxed Values from VASP.

The structure in Quantum ESPRESSO input format:
```
&SYSTEM
  ibrav = 0, nat = 4, ntyp = 3
/
ATOMIC_SPECIES
La 138.91 La.upf
I 126.90 I.upf
Ba 137.33 Ba.upf
CELL_PARAMETERS angstrom
0.000 4.223 4.223
4.223 0.000 4.223
4.223 4.223 0.000
ATOMIC_POSITIONS angstrom
La 6.334 6.334 6.334
I 0.000 0.000 0.000
Ba 4.223 4.223 4.223
La 2.111 2.111 2.111
```

Its uncorrected formation energy is 0.05 eV/f.u. For the total energy, the calculation gives -3.32 eV/atom. The value obtained for the energy above the most stable polymorph in this dataset is 231 meV per atom. As for the space group: No. 225. Its calculated volume is 37.66 Å³ per atom.

***

Material: BaLiLaI6
Method: DFT, PBE-GGA
State: relaxed Values from VASP.

The structure in Quantum ESPRESSO input format:
```
&SYSTEM
  ibrav = 0, nat = 18, ntyp = 4
/
ATOMIC_SPECIES
I 126.90 I.upf
Ba 137.33 Ba.upf
Li 6.94 Li.upf
La 138.91 La.upf
CELL_PARAMETERS angstrom
7.989 0.000 0.000
-3.995 6.919 0.000
0.000 0.000 15.069
ATOMIC_POSITIONS angstrom
I 1.121 6.832 5.540
Ba 0.000 0.000 7.534
I 5.356 4.387 13.074
I -2.483 4.474 5.540
I 2.633 4.387 9.529
I 1.512 2.445 13.074
Li 0.000 4.613 3.767
La 3.995 2.306 3.767
Li 3.995 2.306 11.302
Ba 0.000 0.000 0.000
I 2.483 4.474 1.995
I 5.116 0.087 13.074
I 2.873 0.087 9.529
I -1.361 2.532 1.995
I 1.361 2.532 5.540
I -1.121 6.832 1.995
La 0.000 4.613 11.302
I 6.477 2.445 9.529
```

Its uncorrected formation energy is -13.55 eV/f.u. For the total energy, the calculation gives -3.51 eV/atom. As for the space group: No. 163. Its calculated volume is 46.28 Å³ per atom.

***

Material: Ba2LaI2N2
Method: DFT, PBE-GGA
State: relaxed Values from VASP.

The structure in Quantum ESPRESSO input format:
```
&SYSTEM
  ibrav = 0, nat = 7, ntyp = 4
/
ATOMIC_SPECIES
Ba 137.33 Ba.upf
N 14.01 N.upf
I 126.90 I.upf
La 138.91 La.upf
CELL_PARAMETERS angstrom
-3.669 -0.401 2.990
-2.617 -1.920 -3.469
6.163 -7.542 2.777
ATOMIC_POSITIONS angstrom
Ba -2.563 -2.830 0.248
N -1.309 -0.960 -1.734
I 1.070 -3.082 0.899
La 0.000 0.000 0.000
N -1.835 -0.201 1.495
Ba 2.440 -7.032 2.051
I -1.193 -6.780 1.400
```

Its uncorrected formation energy is -8.41 eV/f.u. For the total energy, the calculation gives -5.28 eV/atom. As for the space group: No. 139. Its calculated volume is 30.80 Å³ per atom.

***

Material: Ba2LaNiI
Method: DFT, PBE-GGA
State: relaxed Values from VASP.

The structure in Quantum ESPRESSO input format:
```
&SYSTEM
  ibrav = 0, nat = 5, ntyp = 4
/
ATOMIC_SPECIES
La 138.91 La.upf
Ba 137.33 Ba.upf
Ni 58.69 Ni.upf
I 126.90 I.upf
CELL_PARAMETERS angstrom
-3.546 1.686 -5.423
-1.581 -4.405 -0.336
-5.212 1.574 3.897
ATOMIC_POSITIONS angstrom
La 0.000 0.000 0.000
Ba -1.773 0.843 -2.712
Ni -0.790 -2.203 -0.168
I -5.170 -0.573 -0.931
Ba -2.606 0.787 1.949
```

Its uncorrected formation energy is 0.51 eV/f.u. For the total energy, the calculation gives -3.12 eV/atom. As for the space group: No. 123. Its calculated volume is 42.07 Å³ per atom.

***

Material: BaLaI2O8
Method: DFT, PBE-GGA
State: relaxed Values from VASP.

The structure in Quantum ESPRESSO input format:
```
&SYSTEM
  ibrav = 0, nat = 12, ntyp = 4
/
ATOMIC_SPECIES
I 126.90 I.upf
O 16.00 O.upf
Ba 137.33 Ba.upf
La 138.91 La.upf
CELL_PARAMETERS angstrom
6.017 0.000 0.000
3.008 5.211 0.000
3.008 1.737 6.884
ATOMIC_POSITIONS angstrom
I 3.008 1.737 1.382
O 4.969 1.781 1.294
O 6.959 1.720 5.590
Ba 6.017 3.474 3.442
O 5.074 5.227 1.294
O 9.025 5.211 3.696
O 3.008 1.737 3.187
La 0.000 0.000 0.000
I 9.025 5.211 5.502
O 4.027 3.534 5.590
O 7.064 5.167 5.590
O 8.006 3.413 1.294
```

Its uncorrected formation energy is -15.74 eV/f.u. For the total energy, the calculation gives -5.45 eV/atom. As for the space group: No. 148. Its calculated volume is 17.98 Å³ per atom.

***

Material: BaLaIO2
Method: DFT, PBE-GGA
State: relaxed Values from VASP.

The structure in Quantum ESPRESSO input format:
```
&SYSTEM
  ibrav = 0, nat = 5, ntyp = 4
/
ATOMIC_SPECIES
La 138.91 La.upf
O 16.00 O.upf
I 126.90 I.upf
Ba 137.33 Ba.upf
CELL_PARAMETERS angstrom
-0.244 2.602 3.987
-3.978 -2.305 1.261
3.407 -4.250 2.983
ATOMIC_POSITIONS angstrom
La 0.000 0.000 0.000
O -1.989 -1.152 0.630
I 1.704 -2.125 1.491
Ba -0.407 -1.976 4.115
O -0.122 1.301 1.993
```

Its uncorrected formation energy is -10.25 eV/f.u. For the total energy, the calculation gives -5.71 eV/atom. The value obtained for the energy above the most stable polymorph in this dataset is 746 meV per atom. As for the space group: No. 123. Its calculated volume is 28.23 Å³ per atom.

***

Material: Ba2LaIO6
Method: DFT, PBE-GGA
State: relaxed Values from VASP.

The structure in Quantum ESPRESSO input format:
```
&SYSTEM
  ibrav = 0, nat = 10, ntyp = 4
/
ATOMIC_SPECIES
O 16.00 O.upf
I 126.90 I.upf
Ba 137.33 Ba.upf
La 138.91 La.upf
CELL_PARAMETERS angstrom
-2.729 -5.491 -1.469
3.340 -5.343 0.232
-1.161 -4.250 4.511
ATOMIC_POSITIONS angstrom
O 1.626 -6.385 0.898
O -0.741 -5.810 3.148
O 0.191 -9.273 0.126
I 0.000 0.000 0.000
Ba -0.137 -3.771 0.818
O -2.176 -8.698 2.376
O -1.566 -6.463 0.003
Ba -0.412 -11.313 2.455
O 1.016 -8.620 3.271
La -0.275 -7.542 1.637
```

Its uncorrected formation energy is -21.06 eV/f.u. For the total energy, the calculation gives -6.11 eV/atom. As for the space group: No. 225. Its calculated volume is 17.72 Å³ per atom.

***

Material: BaLaIO2
Method: DFT, PBE-GGA
State: relaxed Values from VASP.

The structure in Quantum ESPRESSO input format:
```
&SYSTEM
  ibrav = 0, nat = 10, ntyp = 4
/
ATOMIC_SPECIES
O 16.00 O.upf
Ba 137.33 Ba.upf
I 126.90 I.upf
La 138.91 La.upf
CELL_PARAMETERS angstrom
4.462 0.000 0.000
0.000 7.761 -0.345
0.000 -2.096 8.417
ATOMIC_POSITIONS angstrom
O 3.346 2.095 7.013
Ba 3.346 2.395 0.529
I 3.346 6.874 1.871
Ba 1.115 3.270 7.544
O 3.346 3.211 3.183
O 1.115 2.454 4.889
O 1.115 3.570 1.060
La 1.115 4.094 3.213
La 3.346 1.570 4.860
I 1.115 -1.209 6.201
```

Its uncorrected formation energy is -13.98 eV/f.u. For the total energy, the calculation gives -6.46 eV/atom. The value obtained for the energy above the most stable polymorph in this dataset is 0 meV per atom. As for the space group: No. 11. Its calculated volume is 28.82 Å³ per atom.

***

Material: BaLaPI
Method: DFT, PBE-GGA
State: relaxed Values from VASP.

The structure in Quantum ESPRESSO input format:
```
&SYSTEM
  ibrav = 0, nat = 4, ntyp = 4
/
ATOMIC_SPECIES
I 126.90 I.upf
P 30.97 P.upf
Ba 137.33 Ba.upf
La 138.91 La.upf
CELL_PARAMETERS angstrom
4.437 -0.001 0.000
-2.218 3.843 0.000
-2.218 -1.280 8.322
ATOMIC_POSITIONS angstrom
I 2.637 1.000 2.849
P -1.799 1.000 7.444
Ba 0.419 -0.281 5.568
La -1.799 3.562 0.530
```

Its uncorrected formation energy is -5.60 eV/f.u. For the total energy, the calculation gives -4.85 eV/atom. As for the space group: No. 160. Its calculated volume is 35.47 Å³ per atom.

***

Material: Ba2LaP2I2
Method: DFT, PBE-GGA
State: relaxed Values from VASP.

The structure in Quantum ESPRESSO input format:
```
&SYSTEM
  ibrav = 0, nat = 7, ntyp = 4
/
ATOMIC_SPECIES
La 138.91 La.upf
Ba 137.33 Ba.upf
I 126.90 I.upf
P 30.97 P.upf
CELL_PARAMETERS angstrom
5.541 0.000 0.000
0.000 5.541 0.000
-2.770 -2.770 8.955
ATOMIC_POSITIONS angstrom
La 0.000 0.000 0.000
Ba 0.000 0.000 6.930
I 0.000 0.000 3.329
P 0.000 2.770 0.000
Ba 2.770 2.770 2.025
I 2.770 2.770 5.627
P 2.770 0.000 0.000
```

Its uncorrected formation energy is -9.26 eV/f.u. For the total energy, the calculation gives -4.56 eV/atom. As for the space group: No. 139. Its calculated volume is 39.28 Å³ per atom.

***

Material: BaLaPdI2
Method: DFT, PBE-GGA
State: relaxed Values from VASP.

The structure in Quantum ESPRESSO input format:
```
&SYSTEM
  ibrav = 0, nat = 5, ntyp = 4
/
ATOMIC_SPECIES
I 126.90 I.upf
Pd 106.42 Pd.upf
Ba 137.33 Ba.upf
La 138.91 La.upf
CELL_PARAMETERS angstrom
-3.492 -1.688 -4.410
4.243 -0.037 -3.346
1.015 -5.625 1.349
ATOMIC_POSITIONS angstrom
I -1.746 -0.844 -2.205
I 0.508 -2.812 0.675
Pd 0.000 0.000 0.000
Ba 0.883 -3.675 -3.203
La 2.121 -0.019 -1.673
```

Its uncorrected formation energy is -2.55 eV/f.u. For the total energy, the calculation gives -3.54 eV/atom. As for the space group: No. 123. Its calculated volume is 37.27 Å³ per atom.

***

Question: What is the calculated volume in the ninth record?
Answer: 28.82 Å³ per atom